A relaxed SrCdPd2 crystal, computed with PBE-GGA.

Magnetic moment   0.00 μB per formula unit

Structure (POSCAR):
```
SrCdPd2
1.0
-1.032 0.688 4.761
-4.345 -2.225 -0.621
1.175 -8.874 4.079
Pd Sr Cd
4 2 2
direct
0.375 0.217 0.750
0.967 0.625 0.250
0.783 0.125 0.250
0.875 0.033 0.750
0.500 0.500 0.000
0.250 0.750 0.500
0.000 0.000 0.000
0.750 0.250 0.500
```



A relaxed Sr4Cd3Pd crystal, computed with PBE-GGA.

Magnetic moment   0.00 μB per formula unit

Structure (POSCAR):
```
Sr4Cd3Pd
1.0
4.484 0.000 0.000
0.000 4.902 0.000
0.000 0.000 12.232
Cd Sr Pd
3 4 1
direct
0.000 0.500 0.571
0.000 0.000 0.426
0.500 0.000 0.938
0.000 0.000 0.139
0.500 0.500 0.340
0.500 0.000 0.649
0.000 0.500 0.873
0.500 0.500 0.064
```



A relaxed Sr6Cd5Pd crystal, computed with PBE-GGA.

Magnetic moment   0.00 μB per formula unit

Structure (POSCAR):
```
Sr6Cd5Pd
1.0
-1.152 -2.455 -5.005
3.825 -6.524 2.321
-6.709 -1.898 5.720
Cd Pd Sr
5 1 6
direct
0.333 0.500 0.665
0.667 0.500 0.335
0.000 0.500 0.000
0.327 0.000 0.651
0.673 0.000 0.349
0.000 0.000 0.000
0.159 0.756 0.320
0.500 0.763 0.000
0.500 0.237 0.000
0.159 0.244 0.320
0.841 0.756 0.680
0.841 0.244 0.680
```



A relaxed SrCd6Pd6 crystal, computed with PBE-GGA.

Magnetic moment   0.00 μB per formula unit

Structure (POSCAR):
```
SrCd6Pd6
1.0
-4.188 2.351 -2.951
-6.555 -2.731 1.742
-3.028 5.692 3.448
Cd Pd Sr
6 6 1
direct
0.689 0.811 0.811
0.000 0.341 0.659
0.653 0.347 0.347
0.347 0.653 0.653
0.311 0.189 0.189
0.000 0.659 0.341
0.500 0.235 0.765
0.000 0.000 0.500
0.500 0.500 0.000
0.500 0.765 0.235
0.000 0.500 0.000
0.500 0.000 0.500
0.000 0.000 0.000
```



A relaxed Sr3CdPd4 crystal, computed with PBE-GGA.

Magnetic moment   0.00 μB per formula unit

Structure (POSCAR):
```
Sr3CdPd4
1.0
-2.629 -3.777 3.801
-2.828 -1.189 -6.734
7.684 -0.288 1.386
Sr Pd Cd
3 4 1
direct
0.806 0.219 0.504
0.231 0.782 0.496
0.019 0.000 0.000
0.383 0.767 0.915
0.408 0.396 0.578
0.655 0.233 0.085
0.630 0.603 0.422
0.519 0.500 0.000
```



A relaxed SrCd3Pd2 crystal, computed with PBE-GGA.

Magnetic moment   0.00 μB per formula unit

Structure (POSCAR):
```
SrCd3Pd2
1.0
-5.000 -0.938 -4.337
-5.330 -3.622 1.776
-6.582 4.260 1.515
Cd Sr Pd
6 2 4
direct
0.728 0.728 0.295
0.272 0.272 0.705
0.249 0.728 0.295
0.728 0.249 0.295
0.272 0.751 0.705
0.751 0.272 0.705
0.773 0.773 0.680
0.227 0.227 0.320
0.500 0.000 0.000
0.500 0.500 0.000
0.000 0.000 0.000
0.000 0.500 0.000
```



Number 1: calculated volume 27.8 Å³ per atom, ΔE_f -223 meV per atom. Number 2: calculated volume 33.6 Å³ per atom, ΔE_f -392 meV per atom. Number 3: calculated volume 32.1 Å³ per atom, ΔE_f -347 meV per atom. Number 4: calculated volume 19.7 Å³ per atom, ΔE_f -419 meV per atom. Number 5: calculated volume 28.5 Å³ per atom, ΔE_f -448 meV per atom. Number 6: calculated volume 22.5 Å³ per atom, ΔE_f -249 meV per atom.